# 1
The following is a PBE-GGA calculation of an optimized crystal structure of RbGaAs, from Alexandria via LeMat-Bulk.

Cell: 8.098 4.185 10.852 Å, 90.00 101.13 90.00°
Fractional coordinates of all 12 atoms:
Ga 0.564 0.500 0.450
Ga 0.564 0.000 0.950
Ga 0.497 0.500 0.688
Ga 0.497 0.000 0.188
As 0.333 0.500 0.248
As 0.333 0.000 0.748
As 0.725 0.500 0.897
As 0.725 0.000 0.397
Rb 0.933 0.000 0.147
Rb 0.216 0.500 0.949
Rb 0.216 0.000 0.449
Rb 0.933 0.500 0.647

Properties
final energy = -3.25 eV/atom
V = 30.069 Å³ per atom
excess energy over the best structure of this formula in the dataset = 32 meV/atom
space-group type = Cm (8)

=====

# 2
The following is a PBE-GGA calculation of an optimized crystal structure of Ac4Tm, from Alexandria via LeMat-Bulk.

Cell: 6.252 6.252 6.252 Å, 90.00 90.00 90.00°
Fractional coordinates of all 5 atoms:
Ac 0.500 0.000 0.500
Ac 0.000 0.000 0.000
Ac 0.000 0.500 0.500
Ac 0.500 0.500 0.000
Tm 0.500 0.500 0.500

Properties
final energy = -3.62 eV/atom
V = 48.871 Å³ per atom
excess energy over the best structure of this formula in the dataset = 462 meV/atom
space-group type = Pm-3m (221)

=====

# 3
The following is a PBE-GGA calculation of an optimized crystal structure of Li4PmTl4, from Alexandria via LeMat-Bulk.

Cell: 6.467 6.467 9.903 Å, 90.00 90.00 90.00°
Fractional coordinates of all 18 atoms:
Tl 0.735 0.000 0.287
Tl 0.765 0.500 0.213
Tl 0.265 0.000 0.287
Tl 0.500 0.765 0.787
Tl 0.000 0.265 0.713
Tl 0.235 0.500 0.213
Tl 0.500 0.235 0.787
Tl 0.000 0.735 0.713
Pm 0.000 0.000 0.000
Pm 0.500 0.500 0.500
Li 0.000 0.717 0.426
Li 0.500 0.783 0.074
Li 0.000 0.283 0.426
Li 0.217 0.500 0.926
Li 0.783 0.500 0.926
Li 0.500 0.217 0.074
Li 0.717 0.000 0.574
Li 0.283 0.000 0.574

Properties
final energy = -2.61 eV/atom
V = 23.012 Å³ per atom
space-group type = P4_2/nmc (137)

=====

# 4
The following is a PBE-GGA calculation of an optimized crystal structure of SrFe3S, from Alexandria via LeMat-Bulk.

Cell: 4.388 4.388 4.388 Å, 90.00 90.00 90.00°
Site moments in Bohr magnetons follow the coordinates.
Fractional coordinates of all 5 atoms:
Fe 0.000 0.000 0.500  2.18
Fe 0.500 0.000 0.000  2.24
Fe 0.000 0.500 0.000  2.25
Sr 0.500 0.500 0.500  -0.13
S 0.000 0.000 0.000  0.01

Properties
final energy = -6.06 eV/atom
V = 16.895 Å³ per atom
excess energy over the best structure of this formula in the dataset = 0 meV/atom
space-group type = Pm-3m (221)

=====

# 5
The following is a PBE-GGA calculation of an optimized crystal structure of CaTl2Ag2, from Alexandria via LeMat-Bulk.

Cell: 8.034 8.034 3.937 Å, 90.00 90.00 90.00°
Fractional coordinates of all 10 atoms:
Ca 0.000 0.000 0.000
Ca 0.500 0.500 0.000
Tl 0.326 0.174 0.500
Tl 0.826 0.326 0.500
Tl 0.674 0.826 0.500
Tl 0.174 0.674 0.500
Ag 0.875 0.625 0.000
Ag 0.125 0.375 0.000
Ag 0.375 0.875 0.000
Ag 0.625 0.125 0.000

Properties
final energy = -2.56 eV/atom
V = 25.408 Å³ per atom
excess energy over the best structure of this formula in the dataset = 19 meV/atom
space-group type = P4/mbm (127)

=====

# 6
The following is a PBE-GGA calculation of an optimized crystal structure of LiPrCd, from Alexandria via LeMat-Bulk.

Cell: 3.846 3.846 5.872 Å, 109.11 109.11 90.00°
Fractional coordinates of all 3 atoms:
Pr 0.953 0.953 0.907
Li 0.262 0.262 0.523
Cd 0.635 0.635 0.270

Properties
final energy = -2.67 eV/atom
V = 25.656 Å³ per atom
excess energy over the best structure of this formula in the dataset = 64 meV/atom
space-group type = I4mm (107)

=====

# 7
The following is a PBE-GGA calculation of an optimized crystal structure of Pm2Dy3Er6Th, from Alexandria via LeMat-Bulk.

Cell: 6.153 6.153 11.709 Å, 95.02 95.02 119.96°
Fractional coordinates of all 12 atoms:
Th 0.000 0.000 0.000
Er 0.916 0.586 0.749
Er 0.586 0.916 0.749
Er 0.245 0.245 0.749
Er 0.084 0.414 0.251
Er 0.755 0.755 0.251
Er 0.414 0.084 0.251
Pm 0.667 0.333 0.000
Pm 0.333 0.667 0.000
Dy 0.833 0.167 0.500
Dy 0.167 0.833 0.500
Dy 0.500 0.500 0.500

Properties
final energy = -4.81 eV/atom
V = 31.515 Å³ per atom
space-group type = C2/m (12)

=====

# 8
The following is a PBE-GGA calculation of an optimized crystal structure of Hf3TiSb, from Alexandria via LeMat-Bulk.

Cell: 4.940 4.940 4.940 Å, 90.00 90.00 90.00°
Fractional coordinates of all 5 atoms:
Ti 0.000 0.000 0.000
Hf 0.500 0.000 0.000
Hf 0.000 0.000 0.500
Hf 0.000 0.500 0.000
Sb 0.500 0.500 0.500

Properties
final energy = -7.62 eV/atom
V = 24.104 Å³ per atom
excess energy over the best structure of this formula in the dataset = 862 meV/atom
space-group type = Pm-3m (221)

=====

# 9
The following is a PBE-GGA calculation of an optimized crystal structure of U6Ga2C, from Alexandria via LeMat-Bulk.

Cell: 6.101 6.297 9.123 Å, 90.00 94.35 90.00°
Fractional coordinates of all 18 atoms:
U 0.828 0.723 0.015
U 0.672 0.223 0.485
U 0.270 0.270 0.541
U 0.230 0.770 0.959
U 0.940 0.969 0.238
U 0.328 0.777 0.515
U 0.172 0.277 0.985
U 0.060 0.031 0.762
U 0.770 0.230 0.041
U 0.730 0.730 0.459
U 0.560 0.469 0.262
U 0.440 0.531 0.738
Ga 0.560 0.012 0.775
Ga 0.440 0.988 0.225
Ga 0.940 0.512 0.725
Ga 0.060 0.488 0.275
C 0.500 0.500 0.000
C 0.000 0.000 0.500

Properties
final energy = -9.29 eV/atom
V = 19.414 Å³ per atom
space-group type = P2_1/c (14)

=====

# 10
The following is a PBE-GGA calculation of an optimized crystal structure of PaSnGe, from Alexandria via LeMat-Bulk.

Cell: 4.944 4.944 4.944 Å, 60.00 60.00 60.00°
Site moments in Bohr magnetons follow the coordinates.
Fractional coordinates of all 3 atoms:
Ge 0.500 0.500 0.500  0.02
Pa 0.250 0.250 0.250  0.42
Sn 0.000 0.000 0.000  0.03

Properties
final energy = -5.87 eV/atom
V = 28.476 Å³ per atom
excess energy over the best structure of this formula in the dataset = 527 meV/atom
space-group type = F-43m (216)

=====

# 11
The following is a PBE-GGA calculation of an optimized crystal structure of BaOsRu, from Alexandria via LeMat-Bulk.

Cell: 4.122 4.122 5.336 Å, 90.00 90.00 120.00°
Fractional coordinates of all 3 atoms:
Ru 0.333 0.667 0.468
Ba 0.000 0.000 0.999
Os 0.667 0.333 0.534

Properties
final energy = -7.03 eV/atom
V = 26.178 Å³ per atom
excess energy over the best structure of this formula in the dataset = 109 meV/atom
space-group type = P3m1 (156)

=====

# 12
The following is a PBE-GGA calculation of an optimized crystal structure of Pm2Cd2BPt4, from Alexandria via LeMat-Bulk.

Cell: 6.139 6.139 6.139 Å, 100.29 114.25 114.25°
Fractional coordinates of all 9 atoms:
Cd 0.000 0.319 0.319
Cd 0.000 0.681 0.681
Pt 0.000 0.775 0.225
Pt 0.000 0.225 0.775
Pt 0.449 0.225 0.225
Pt 0.551 0.775 0.775
B 0.000 0.000 0.000
Pm 0.500 0.750 0.250
Pm 0.500 0.250 0.750

Properties
final energy = -5.34 eV/atom
V = 19.415 Å³ per atom
space-group type = I4/mmm (139)